{"formula": "CaAc3Pm3", "functional": "PBE", "state": "relaxed", "lattice_angstrom": [[4.659, 2.690, 7.716], [-4.659, 2.690, 7.716], [0.000, -5.380, 7.716]], "species": ["Ca", "Ca", "Ac", "Ac", "Ac", "Ac", "Ac", "Ac", "Pm", "Pm", "Pm", "Pm", "Pm", "Pm"], "frac_coords": [[0.150, 0.150, 0.150], [0.850, 0.850, 0.850], [0.064, 0.563, 0.225], [0.225, 0.064, 0.563], [0.437, 0.775, 0.936], [0.563, 0.225, 0.064], [0.775, 0.936, 0.437], [0.936, 0.437, 0.775], [0.227, 0.675, 0.427], [0.325, 0.573, 0.773], [0.427, 0.227, 0.675], [0.573, 0.773, 0.325], [0.675, 0.427, 0.227], [0.773, 0.325, 0.573]], "crystal_system": "trigonal", "formation_enthalpy_0k_ev_per_atom": 0.18, "final_energy_ev_per_atom": -3.905, "rho_kg_m3": 6618}